Entry from the Alexandria database: a crystal of La2ScTl relaxed with PBEsol (meta-GGA SCAN).

E_form = -0.294 eV/atom
energy above the most stable polymorph in this dataset = 1.2 kJ per mole of atoms

Structure (POSCAR):
```
La2ScTl
1.0
-2.5787 -0.0691 2.4876
3.9797 -0.8266 4.1025
0.1173 5.7730 -2.2993
Tl La Sc
1 2 1
direct
0.2388 0.6744 0.4775 Tl
0.7603 0.2136 0.5206 La
0.9802 0.0381 0.9605 La
0.5207 0.5739 0.0415 Sc
```